# Zr2ReBr | Alexandria via LeMat-Bulk | PBE | optimized geometry
data_Zr2ReBr
_chemical_formula_sum 'Zr8 Re4 Br4'
_cell_length_a 6.8014
_cell_length_b 6.8014
_cell_length_c 6.8014
_cell_angle_alpha 90.00
_cell_angle_beta 90.00
_cell_angle_gamma 90.00
_symmetry_space_group_name_H-M 'F m -3 m'
_symmetry_Int_Tables_number 225
_symmetry_space_group_name_Hall '-F 4 2 3'
loop_
_atom_site_label
_atom_site_type_symbol
_atom_site_fract_x
_atom_site_fract_y
_atom_site_fract_z
Zr1 Zr 0.2500 0.2500 0.2500
Re1 Re 0.0000 0.0000 0.0000
Br1 Br 0.0000 0.0000 0.5000
# E_form (uncorrected)	0.254	eV/atom